No. 1
An optimized crystal structure of Sc6TlP2S3, computed with PBE.

Summary:
- uncorrected formation energy (eV/atom) = -1.44

```
data_Sc6TlP2S3
_chemical_formula_sum 'Sc12 Tl2 P4 S6'
_space_group_name_H-M_alt 'C 1 2/m 1'
_space_group_IT_number 12
_space_group_name_Hall '-C 2y'
_cell_length_a 16.571
_cell_length_b 3.735
_cell_length_c 7.736
_cell_angle_alpha 90.00
_cell_angle_beta 103.82
_cell_angle_gamma 90.00
loop_
_atom_site_label
_atom_site_type_symbol
_atom_site_fract_x
_atom_site_fract_y
_atom_site_fract_z
_atom_site_occupancy
Sc1 Sc 0.001 0.000 0.278 1
Sc2 Sc 0.171 0.500 0.576 1
Sc3 Sc 0.176 0.500 0.098 1
Tl1 Tl 0.000 0.500 0.000 1
P1 P 0.167 0.000 0.334 1
S1 S 0.000 0.500 0.500 1
S2 S 0.166 0.000 0.830 1
```

---

No. 2
An optimized crystal structure of ScTlP2S7, computed with PBE.

Summary:
- uncorrected formation energy (eV/atom) = -0.67

```
data_ScTlP2S7
_chemical_formula_sum 'Sc2 Tl2 P4 S14'
_space_group_name_H-M_alt 'C 1 2 1'
_space_group_IT_number 5
_space_group_name_Hall 'C 2y'
_cell_length_a 8.789
_cell_length_b 10.001
_cell_length_c 6.869
_cell_angle_alpha 90.00
_cell_angle_beta 101.19
_cell_angle_gamma 90.00
loop_
_atom_site_label
_atom_site_type_symbol
_atom_site_fract_x
_atom_site_fract_y
_atom_site_fract_z
_atom_site_occupancy
Sc1 Sc 0.000 0.000 0.000 1
Tl1 Tl 0.000 0.422 0.500 1
P1 P 0.202 0.350 0.086 1
S1 S 0.000 0.475 0.000 1
S2 S 0.148 0.186 0.235 1
S3 S 0.158 0.973 0.725 1
S4 S 0.202 0.819 0.156 1
```

---

No. 3
An optimized crystal structure of TmScPS, computed with PBE.

Summary:
- uncorrected formation energy (eV/atom) = -1.70

```
data_TmScPS
_chemical_formula_sum 'Tm3 Sc3 P3 S3'
_space_group_name_H-M_alt 'R 3 m'
_space_group_IT_number 160
_space_group_name_Hall 'R 3 -2"'
_cell_length_a 3.7519
_cell_length_b 3.7519
_cell_length_c 19.6828
_cell_angle_alpha 90.00
_cell_angle_beta 90.00
_cell_angle_gamma 120.00
loop_
_atom_site_label
_atom_site_type_symbol
_atom_site_fract_x
_atom_site_fract_y
_atom_site_fract_z
_atom_site_occupancy
Tm1 Tm 0.0000 0.0000 0.0000 1
Sc1 Sc 0.0000 0.0000 0.1789 1
P1 P 0.0000 0.0000 0.5835 1
S1 S 0.0000 0.0000 0.7597 1
```

---

No. 4
An optimized crystal structure of ScUPS, computed with PBE.

Summary:
- uncorrected formation energy (eV/atom) = -1.45

```
data_ScUPS
_chemical_formula_sum 'Sc3 U3 P3 S3'
_space_group_name_H-M_alt 'R 3 m'
_space_group_IT_number 160
_space_group_name_Hall 'R 3 -2"'
_cell_length_a 3.7846
_cell_length_b 3.7846
_cell_length_c 19.0390
_cell_angle_alpha 90.00
_cell_angle_beta 90.00
_cell_angle_gamma 120.00
loop_
_atom_site_label
_atom_site_type_symbol
_atom_site_fract_x
_atom_site_fract_y
_atom_site_fract_z
_atom_site_occupancy
Sc1 Sc 0.0000 0.0000 0.0000 1
U1 U 0.0000 0.0000 0.4982 1
P1 P 0.0000 0.0000 0.7443 1
S1 S 0.0000 0.0000 0.2544 1
```

---

No. 5
An optimized crystal structure of ScVPS2, computed with PBE.

Summary:
- uncorrected formation energy (eV/atom) = 0.13
- energy relative to the lowest polymorph listed for this composition (meV per atom) = 558

```
data_ScVPS2
_chemical_formula_sum 'Sc1 V1 P1 S2'
_space_group_name_H-M_alt 'P 4/m m m'
_space_group_IT_number 123
_space_group_name_Hall '-P 4 2'
_cell_length_a 4.831
_cell_length_b 4.831
_cell_length_c 4.908
_cell_angle_alpha 90.00
_cell_angle_beta 90.00
_cell_angle_gamma 90.00
loop_
_atom_site_label
_atom_site_type_symbol
_atom_site_fract_x
_atom_site_fract_y
_atom_site_fract_z
_atom_site_occupancy
Sc1 Sc 0.000 0.000 0.000 1
V1 V 0.500 0.500 0.500 1
P1 P 0.000 0.000 0.500 1
S1 S 0.000 0.500 0.000 1
```

---

No. 6
An optimized crystal structure of ScVPS2, computed with PBE.

Summary:
- uncorrected formation energy (eV/atom) = -0.43
- energy relative to the lowest polymorph listed for this composition (meV per atom) = 0

```
data_ScVPS2
_chemical_formula_sum 'Sc1 V1 P1 S2'
_space_group_name_H-M_alt 'P 4/m m m'
_space_group_IT_number 123
_space_group_name_Hall '-P 4 2'
_cell_length_a 4.479
_cell_length_b 4.479
_cell_length_c 4.699
_cell_angle_alpha 90.00
_cell_angle_beta 90.00
_cell_angle_gamma 90.00
loop_
_atom_site_label
_atom_site_type_symbol
_atom_site_fract_x
_atom_site_fract_y
_atom_site_fract_z
_atom_site_occupancy
Sc1 Sc 0.000 0.000 0.000 1
V1 V 0.500 0.500 0.500 1
P1 P 0.500 0.500 0.000 1
S1 S 0.000 0.500 0.500 1
```

---

No. 7
An optimized crystal structure of ScPWS2, computed with PBE.

Summary:
- uncorrected formation energy (eV/atom) = 0.78
- energy relative to the lowest polymorph listed for this composition (meV per atom) = 873

```
data_ScPWS2
_chemical_formula_sum 'Sc1 P1 W1 S2'
_space_group_name_H-M_alt 'P 4/m m m'
_space_group_IT_number 123
_space_group_name_Hall '-P 4 2'
_cell_length_a 4.752
_cell_length_b 4.752
_cell_length_c 4.935
_cell_angle_alpha 90.00
_cell_angle_beta 90.00
_cell_angle_gamma 90.00
loop_
_atom_site_label
_atom_site_type_symbol
_atom_site_fract_x
_atom_site_fract_y
_atom_site_fract_z
_atom_site_occupancy
Sc1 Sc 0.000 0.000 0.000 1
P1 P 0.000 0.000 0.500 1
W1 W 0.500 0.500 0.500 1
S1 S 0.000 0.500 0.000 1
```

---

No. 8
An optimized crystal structure of ScPWS2, computed with PBE.

Summary:
- uncorrected formation energy (eV/atom) = -0.10
- energy relative to the lowest polymorph listed for this composition (meV per atom) = 0

```
data_ScPWS2
_chemical_formula_sum 'Sc1 P1 W1 S2'
_space_group_name_H-M_alt 'P 4/m m m'
_space_group_IT_number 123
_space_group_name_Hall '-P 4 2'
_cell_length_a 4.617
_cell_length_b 4.617
_cell_length_c 4.840
_cell_angle_alpha 90.00
_cell_angle_beta 90.00
_cell_angle_gamma 90.00
loop_
_atom_site_label
_atom_site_type_symbol
_atom_site_fract_x
_atom_site_fract_y
_atom_site_fract_z
_atom_site_occupancy
Sc1 Sc 0.000 0.000 0.000 1
P1 P 0.500 0.500 0.000 1
W1 W 0.500 0.500 0.500 1
S1 S 0.000 0.500 0.500 1
```

---

No. 9
An optimized crystal structure of YScPS, computed with PBE.

Summary:
- uncorrected formation energy (eV/atom) = -1.72

```
data_YScPS
_chemical_formula_sum 'Y3 Sc3 P3 S3'
_space_group_name_H-M_alt 'R 3 m'
_space_group_IT_number 160
_space_group_name_Hall 'R 3 -2"'
_cell_length_a 3.7874
_cell_length_b 3.7874
_cell_length_c 19.8398
_cell_angle_alpha 90.00
_cell_angle_beta 90.00
_cell_angle_gamma 120.00
loop_
_atom_site_label
_atom_site_type_symbol
_atom_site_fract_x
_atom_site_fract_y
_atom_site_fract_z
_atom_site_occupancy
Y1 Y 0.0000 0.0000 0.0000 1
Sc1 Sc 0.0000 0.0000 0.1786 1
P1 P 0.0000 0.0000 0.5820 1
S1 S 0.0000 0.0000 0.7612 1
```

---

No. 10
An optimized crystal structure of YScPS2, computed with PBE.

Summary:
- uncorrected formation energy (eV/atom) = -0.40
- energy relative to the lowest polymorph listed for this composition (meV per atom) = 552

```
data_YScPS2
_chemical_formula_sum 'Y1 Sc1 P1 S2'
_space_group_name_H-M_alt 'P 4/m m m'
_space_group_IT_number 123
_space_group_name_Hall '-P 4 2'
_cell_length_a 5.089
_cell_length_b 5.089
_cell_length_c 5.212
_cell_angle_alpha 90.00
_cell_angle_beta 90.00
_cell_angle_gamma 90.00
loop_
_atom_site_label
_atom_site_type_symbol
_atom_site_fract_x
_atom_site_fract_y
_atom_site_fract_z
_atom_site_occupancy
Y1 Y 0.000 0.000 0.000 1
Sc1 Sc 0.500 0.500 0.500 1
P1 P 0.000 0.000 0.500 1
S1 S 0.000 0.500 0.000 1
```

---

No. 11
An optimized crystal structure of YScPS2, computed with PBE.

Summary:
- uncorrected formation energy (eV/atom) = -0.95
- energy relative to the lowest polymorph listed for this composition (meV per atom) = 0

```
data_YScPS2
_chemical_formula_sum 'Y1 Sc1 P1 S2'
_space_group_name_H-M_alt 'P 4/m m m'
_space_group_IT_number 123
_space_group_name_Hall '-P 4 2'
_cell_length_a 4.820
_cell_length_b 4.820
_cell_length_c 4.941
_cell_angle_alpha 90.00
_cell_angle_beta 90.00
_cell_angle_gamma 90.00
loop_
_atom_site_label
_atom_site_type_symbol
_atom_site_fract_x
_atom_site_fract_y
_atom_site_fract_z
_atom_site_occupancy
Y1 Y 0.000 0.000 0.000 1
Sc1 Sc 0.500 0.500 0.500 1
P1 P 0.500 0.500 0.000 1
S1 S 0.000 0.500 0.500 1
```

---

No. 12
An optimized crystal structure of ScZnP2S, computed with PBE.

Summary:
- uncorrected formation energy (eV/atom) = 0.25
- energy relative to the lowest polymorph listed for this composition (meV per atom) = 0

```
data_ScZnP2S
_chemical_formula_sum 'Sc1 Zn1 P2 S1'
_space_group_name_H-M_alt 'P 4/m m m'
_space_group_IT_number 123
_space_group_name_Hall '-P 4 2'
_cell_length_a 4.563
_cell_length_b 4.563
_cell_length_c 4.728
_cell_angle_alpha 90.00
_cell_angle_beta 90.00
_cell_angle_gamma 90.00
loop_
_atom_site_label
_atom_site_type_symbol
_atom_site_fract_x
_atom_site_fract_y
_atom_site_fract_z
_atom_site_occupancy
Sc1 Sc 0.000 0.000 0.000 1
Zn1 Zn 0.500 0.500 0.500 1
P1 P 0.000 0.500 0.500 1
S1 S 0.500 0.500 0.000 1
```

---

We obtain volume values of 19.38 26.92 20.00 19.68 22.91 18.86 22.29 20.63 20.54 27.00 22.96 19.69 A^3/atom for the records listed above, in that order.